Record 1
DFT (GGA-PBE) results for an optimized crystal structure of Fe2CuMo.

Structure (POSCAR):
```
Fe2CuMo
1.0
2.525 0.000 0.000
0.000 4.248 0.000
-0.579 0.000 4.799
Fe Cu Mo
2 1 1
direct
0.248 0.000 0.253 Fe
0.752 0.000 0.747 Fe
0.000 0.500 0.500 Cu
0.500 0.500 0.000 Mo
```

Computed properties:
electronic total energy: -7.754 eV per atom
DFT formation energy: 0.84 eV per formula unit
N(E_F): 3.61 states/eV/cell

---

Record 2
DFT (GGA-PBE) results for an optimized crystal structure of AlCrRh3.

Structure (POSCAR):
```
AlCrRh3
1.0
4.379 0.000 0.000
0.000 4.379 0.000
0.000 0.000 4.379
Al Cr Rh
1 1 3
direct
0.000 0.000 0.000 Al
0.500 0.500 0.500 Cr
0.000 0.000 0.500 Rh
0.000 0.500 0.000 Rh
0.500 0.000 0.000 Rh
```

Computed properties:
electronic total energy: -6.171 eV per atom
DFT formation energy: 4.56 eV per formula unit
N(E_F): 10.51 states/eV/cell

---

Record 3
DFT (GGA-PBE) results for an optimized crystal structure of Dy2YTe2.

Structure (POSCAR):
```
Dy2YTe2
1.0
6.661 -2.990 0.000
6.661 2.990 0.000
-3.000 0.000 7.771
Dy Y Te
4 2 4
direct
0.035 0.035 0.300 Dy
0.313 0.313 0.850 Dy
0.687 0.687 0.150 Dy
0.965 0.965 0.700 Dy
0.321 0.321 0.433 Y
0.679 0.679 0.567 Y
0.160 0.160 0.054 Te
0.480 0.480 0.234 Te
0.520 0.520 0.766 Te
0.840 0.840 0.946 Te
```

Computed properties:
raw formation energy: -0.94 eV per atom
electronic total energy: -5.335 eV per atom
N(E_F): 8.10 states/eV/cell

---

Record 4
DFT (GGA-PBE) results for an optimized crystal structure of CdGe2F8.

Structure (POSCAR):
```
CdGe2F8
1.0
4.418 -3.344 0.000
4.418 3.344 0.000
-1.133 0.000 5.205
Cd Ge F
1 2 8
direct
0.000 0.000 0.000 Cd
0.321 0.321 0.563 Ge
0.679 0.679 0.437 Ge
0.051 0.663 0.670 F
0.204 0.204 0.824 F
0.337 0.949 0.330 F
0.446 0.446 0.274 F
0.554 0.554 0.726 F
0.663 0.051 0.670 F
0.796 0.796 0.176 F
0.949 0.337 0.330 F
```

Computed properties:
raw formation energy: -2.04 eV per atom
electronic total energy: -4.321 eV per atom
N(E_F): 1.32 states/eV/cell

---

Record 5
DFT (GGA-PBE) results for an optimized crystal structure of Ho3MoC3.

Structure (POSCAR):
```
Ho3MoC3
1.0
4.410 -5.235 0.000
4.410 5.235 0.000
0.000 0.000 5.120
Ho Mo C
6 2 6
direct
0.110 0.890 0.750 Ho
0.165 0.399 0.750 Ho
0.399 0.165 0.250 Ho
0.601 0.835 0.750 Ho
0.835 0.601 0.250 Ho
0.890 0.110 0.250 Ho
0.311 0.689 0.250 Mo
0.689 0.311 0.750 Mo
0.123 0.877 0.250 C
0.171 0.411 0.250 C
0.411 0.171 0.750 C
0.589 0.829 0.250 C
0.829 0.589 0.750 C
0.877 0.123 0.750 C
```

Computed properties:
electronic total energy: -7.798 eV per atom
DFT formation energy: -2.35 eV per formula unit
N(E_F): 7.02 states/eV/cell

---

Record 6
DFT (GGA-PBE) results for an optimized crystal structure of SmEuTmHg.

Structure (POSCAR):
```
SmEuTmHg
1.0
7.738 0.000 0.000
0.000 7.738 0.000
0.000 0.000 7.738
Sm Eu Tm Hg
4 4 4 4
direct
0.000 0.000 0.000 Sm
0.000 0.500 0.500 Sm
0.500 0.000 0.500 Sm
0.500 0.500 0.000 Sm
0.250 0.250 0.250 Eu
0.250 0.750 0.750 Eu
0.750 0.250 0.750 Eu
0.750 0.750 0.250 Eu
0.000 0.000 0.500 Tm
0.000 0.500 0.000 Tm
0.500 0.000 0.000 Tm
0.500 0.500 0.500 Tm
0.250 0.250 0.750 Hg
0.250 0.750 0.250 Hg
0.750 0.250 0.250 Hg
0.750 0.750 0.750 Hg
```

Computed properties:
electronic total energy: -4.977 eV per atom
DFT formation energy: -0.14 eV per formula unit
N(E_F): 20.33 states/eV/cell

---

Record 7
DFT (GGA-PBE) results for an optimized crystal structure of YHg2I.

Structure (POSCAR):
```
YHg2I
1.0
7.763 0.000 0.000
0.000 7.763 0.000
0.000 0.000 7.763
Y Hg I
4 8 4
direct
0.000 0.000 0.000 Y
0.000 0.500 0.500 Y
0.500 0.000 0.500 Y
0.500 0.500 0.000 Y
0.250 0.250 0.250 Hg
0.250 0.250 0.750 Hg
0.250 0.750 0.250 Hg
0.250 0.750 0.750 Hg
0.750 0.250 0.250 Hg
0.750 0.250 0.750 Hg
0.750 0.750 0.250 Hg
0.750 0.750 0.750 Hg
0.000 0.000 0.500 I
0.000 0.500 0.000 I
0.500 0.000 0.000 I
0.500 0.500 0.500 I
```

Computed properties:
raw formation energy: -0.06 eV per atom
electronic total energy: -2.218 eV per atom
N(E_F): 12.94 states/eV/cell

---

Record 8
DFT (GGA-PBE) results for an optimized crystal structure of Na3SrHg2.

Structure (POSCAR):
```
Na3SrHg2
1.0
8.350 -2.590 0.000
8.350 2.590 0.000
-4.416 0.000 8.603
Na Sr Hg
6 2 4
direct
0.056 0.056 0.382 Na
0.298 0.298 0.486 Na
0.406 0.406 0.283 Na
0.594 0.594 0.717 Na
0.702 0.702 0.514 Na
0.944 0.944 0.618 Na
0.141 0.141 0.042 Sr
0.859 0.859 0.958 Sr
0.216 0.216 0.751 Hg
0.446 0.446 0.828 Hg
0.554 0.554 0.172 Hg
0.784 0.784 0.249 Hg
```

Computed properties:
electronic total energy: -1.275 eV per atom
DFT formation energy: -1.41 eV per formula unit
N(E_F): 5.43 states/eV/cell

---

Record 9
DFT (GGA-PBE) results for an optimized crystal structure of Ag2HgPt.

Structure (POSCAR):
```
Ag2HgPt
1.0
3.012 0.000 0.000
0.000 4.840 0.000
0.000 0.000 10.009
Ag Hg Pt
4 2 2
direct
0.000 0.000 0.242 Ag
0.000 0.000 0.758 Ag
0.500 0.500 0.258 Ag
0.500 0.500 0.742 Ag
0.000 0.500 0.000 Hg
0.500 0.000 0.500 Hg
0.000 0.500 0.500 Pt
0.500 0.000 0.000 Pt
```

Computed properties:
electronic total energy: -2.974 eV per atom
DFT formation energy: 0.15 eV per formula unit
N(E_F): 2.17 states/eV/cell

---

Record 10
DFT (GGA-PBE) results for an optimized crystal structure of Ba3Ta2CdO9.

Structure (POSCAR):
```
Ba3Ta2CdO9
1.0
5.953 0.000 0.000
-2.976 5.155 0.000
0.000 0.000 7.364
Ba Ta Cd O
3 2 1 9
direct
0.000 0.000 0.000 Ba
0.333 0.667 0.665 Ba
0.667 0.333 0.335 Ba
0.333 0.667 0.168 Ta
0.667 0.333 0.832 Ta
0.000 0.000 0.500 Cd
0.000 0.500 0.000 O
0.177 0.354 0.313 O
0.177 0.823 0.313 O
0.354 0.177 0.687 O
0.500 0.000 0.000 O
0.500 0.500 0.000 O
0.646 0.823 0.313 O
0.823 0.177 0.687 O
0.823 0.646 0.687 O
```

Computed properties:
raw formation energy: -2.75 eV per atom
electronic total energy: -7.753 eV per atom
N(E_F): 0.00 states/eV/cell

---

Record 11
DFT (GGA-PBE) results for an optimized crystal structure of SmDyHo2N4.

Structure (POSCAR):
```
SmDyHo2N4
1.0
6.046 0.000 0.000
0.000 3.492 0.000
-2.012 0.000 5.702
Sm Dy Ho N
1 1 2 4
direct
0.000 0.000 0.000 Sm
0.500 0.500 0.000 Dy
0.000 0.500 0.500 Ho
0.500 0.000 0.500 Ho
0.252 0.000 0.746 N
0.255 0.500 0.256 N
0.745 0.500 0.744 N
0.748 0.000 0.254 N
```

Computed properties:
raw formation energy: -1.66 eV per atom
electronic total energy: -8.131 eV per atom
N(E_F): 0.22 states/eV/cell

---

Record 12
DFT (GGA-PBE) results for an optimized crystal structure of TlP.

Structure (POSCAR):
```
TlP
1.0
10.505 0.000 0.000
-5.253 9.098 0.000
0.000 0.000 4.382
Tl P
6 6
direct
0.079 0.677 0.250 Tl
0.323 0.402 0.250 Tl
0.402 0.079 0.750 Tl
0.598 0.921 0.250 Tl
0.677 0.598 0.750 Tl
0.921 0.323 0.750 Tl
0.084 0.417 0.250 P
0.334 0.916 0.250 P
0.417 0.334 0.750 P
0.583 0.666 0.250 P
0.666 0.084 0.750 P
0.916 0.583 0.750 P
```

Computed properties:
electronic total energy: -3.557 eV per atom
DFT formation energy: 0.66 eV per formula unit
N(E_F): 0.54 states/eV/cell